No. 1
Material: ScNbV2Rh
Method: DFT, PBE
State: optimized geometry

Lattice parameters (Å, degrees): 4.5106 4.9650 4.5106 90.00 90.00 90.00
Last column: nearest neighbours and their distance in Å.
Fractional positions:
V (0.0000, 0.0000, 0.5000)  2 Nb 2.26
Sc (0.0000, 0.5000, 0.0000)  2 Nb 2.48
Nb (0.0000, 0.0000, 0.0000)  4 V 2.26, 2 Sc 2.48
Rh (0.5000, 0.5000, 0.5000)  4 Sc 3.19, 8 V 3.35
V (0.5000, 0.0000, 0.0000)  2 Nb 2.26

Summary:
Formation energy = 1.2448 eV/atom
Electronic total energy = -7.1532 eV/atom

---

No. 2
Material: CsAl2GeP
Method: DFT, PBE
State: optimized geometry

Lattice parameters (Å, degrees): 4.9641 5.5949 4.9641 90.00 90.00 90.00
Last column: nearest neighbours and their distance in Å.
Fractional positions:
Ge (0.0000, 0.5000, 0.0000)  2 P 2.80
Al (0.5000, 0.0000, 0.0000)  2 P 2.48
Al (0.0000, 0.0000, 0.5000)  2 P 2.48
P (0.0000, 0.0000, 0.0000)  4 Al 2.48
Cs (0.5000, 0.5000, 0.5000)  4 Ge 3.51, 8 Al 3.74

Summary:
Formation energy = 0.5199 eV/atom
Electronic total energy = -3.1533 eV/atom

---

No. 3
Material: Ta2GeP
Method: DFT, PBE
State: optimized geometry

Lattice parameters (Å, degrees): 4.4768 4.4768 4.4768 60.00 60.00 60.00
Last column: nearest neighbours and their distance in Å.
Fractional positions:
Ta (0.2500, 0.2500, 0.2500)  4 Ge 2.74, 4 P 2.74
Ta (0.7500, 0.7500, 0.7500)  4 Ge 2.74, 4 P 2.74
P (0.0000, 0.0000, 0.0000)  8 Ta 2.74
Ge (0.5000, 0.5000, 0.5000)  8 Ta 2.74

Summary:
Formation energy = -0.2025 eV/atom
Electronic total energy = -8.6356 eV/atom
Offset from the most stable computed form = 0.00 eV/f.u.

---

No. 4
Material: RbTl7Hg12
Method: DFT, PBE
State: optimized geometry

Lattice parameters (Å, degrees): 9.8505 9.8505 9.8505 109.47 109.47 109.47
Last column: nearest neighbours and their distance in Å.
Fractional positions:
Hg (0.6496, 0.2350, 0.8846)  3 Tl 3.07-3.17, 1 Hg 3.40
Hg (0.2350, 0.8846, 0.6496)  3 Tl 3.07-3.17, 1 Hg 3.40
Tl (0.5000, 0.0000, 0.0000)  6 Hg 3.07
Hg (0.3504, 0.2350, 0.5855)  3 Tl 3.07-3.17, 1 Hg 3.40
Hg (0.3504, 0.7650, 0.1154)  3 Tl 3.07-3.17, 1 Hg 3.40
Tl (0.5000, 0.5000, 0.5000)  6 Hg 3.07
Tl (0.5000, 0.5000, 0.0000)  8 Hg 3.17-3.46
Tl (0.0000, 0.0000, 0.5000)  6 Hg 3.07
Hg (0.5855, 0.3504, 0.2350)  3 Tl 3.07-3.17, 1 Hg 3.40
Hg (0.8846, 0.6496, 0.2350)  3 Tl 3.07-3.17, 1 Hg 3.40
Hg (0.7650, 0.1154, 0.3504)  3 Tl 3.07-3.17, 1 Hg 3.40
Rb (0.0000, 0.0000, 0.0000)  12 Hg 4.80, 8 Tl 4.93
Hg (0.7650, 0.4145, 0.6496)  3 Tl 3.07-3.17, 1 Hg 3.40
Hg (0.4145, 0.6496, 0.7650)  3 Tl 3.07-3.17, 1 Hg 3.40
Hg (0.6496, 0.7650, 0.4145)  3 Tl 3.07-3.17, 1 Hg 3.40
Hg (0.1154, 0.3504, 0.7650)  3 Tl 3.07-3.17, 1 Hg 3.40
Tl (0.5000, 0.0000, 0.5000)  8 Hg 3.17-3.46
Hg (0.2350, 0.5855, 0.3504)  3 Tl 3.07-3.17, 1 Hg 3.40
Tl (0.0000, 0.5000, 0.0000)  6 Hg 3.07
Tl (0.0000, 0.5000, 0.5000)  8 Hg 3.17-3.46

Summary:
Formation energy = 0.0530 eV/atom
Electronic total energy = -1.0047 eV/atom

---

No. 5
Material: Pr5Sb2C
Method: DFT, PBE
State: optimized geometry

Lattice parameters (Å, degrees): 5.7633 6.0241 15.7346 90.00 90.00 118.58
Last column: nearest neighbours and their distance in Å.
Fractional positions:
C (0.7499, 0.4999, 0.7500)  4 Pr 2.50
Pr (0.0958, 0.1916, 0.1297)  1 C 2.50
C (0.2501, 0.5001, 0.2500)  4 Pr 2.50
Pr (0.9042, 0.8084, 0.6297)  1 C 2.50
Pr (0.7503, 0.5006, 0.2500)  2 C 2.88, 2 Sb 3.03
Sb (0.2506, 0.5012, 0.9429)  3 Pr 3.03-3.36, 2 Sb 3.40
Pr (0.9042, 0.8084, 0.8703)  1 C 2.50
Pr (0.2497, 0.4994, 0.7500)  2 C 2.88, 2 Sb 3.03
Sb (0.2506, 0.5012, 0.5571)  3 Pr 3.03-3.36, 2 Sb 3.40
Pr (0.5955, 0.1909, 0.8704)  1 C 2.50
Sb (0.7494, 0.4988, 0.0571)  3 Pr 3.03-3.36, 2 Sb 3.40
Sb (0.7494, 0.4988, 0.4429)  3 Pr 3.03-3.36, 2 Sb 3.40
Pr (0.4045, 0.8091, 0.3704)  1 C 2.50
Pr (0.4045, 0.8091, 0.1296)  1 C 2.50
Pr (0.0958, 0.1916, 0.3703)  1 C 2.50
Pr (0.5955, 0.1909, 0.6296)  1 C 2.50

Summary:
Electronic total energy = -5.5915 eV/atom
Formation energy without anion corrections = -421 meV per atom

---

No. 6
Material: TlCd2BiPb
Method: DFT, PBE
State: optimized geometry

Lattice parameters (Å, degrees): 5.4591 6.1205 5.4591 90.00 90.00 90.00
Last column: nearest neighbours and their distance in Å.
Fractional positions:
Pb (0.5000, 0.5000, 0.5000)  4 Bi 3.86, 8 Cd 4.10
Cd (0.0000, 0.0000, 0.5000)  2 Tl 2.73
Cd (0.5000, 0.0000, 0.0000)  2 Tl 2.73
Bi (0.0000, 0.5000, 0.0000)  2 Tl 3.06
Tl (0.0000, 0.0000, 0.0000)  4 Cd 2.73

Summary:
Formation energy = 0.4818 eV/atom
Electronic total energy = -1.8754 eV/atom
Offset from the most stable computed form = 2.20 eV/f.u.

---

No. 7
Material: Li2DyAl2Au2
Method: DFT, PBE
State: optimized geometry

Lattice parameters (Å, degrees): 4.5080 4.5191 7.6661 106.77 90.00 119.92
Last column: nearest neighbours and their distance in Å.
Fractional positions:
Li (0.8583, 0.7167, 0.5711)  1 Au 2.54, 3 Li 2.78-2.81, 3 Al 2.81
Au (0.7394, 0.4788, 0.2202)  1 Li 2.54, 3 Al 2.65
Au (0.2606, 0.5212, 0.7798)  1 Li 2.54, 3 Al 2.65
Dy (0.0000, 0.0000, 0.0000)  6 Au 3.05-3.06, 2 Li 3.10, 6 Al 3.31-3.33
Al (0.5731, 0.1462, 0.7169)  3 Au 2.65, 3 Li 2.81
Li (0.1417, 0.2833, 0.4289)  1 Au 2.54, 3 Li 2.78-2.81, 3 Al 2.81
Al (0.4269, 0.8538, 0.2831)  3 Au 2.65, 3 Li 2.81

Summary:
Formation energy = -0.5951 eV/atom
Electronic total energy = -3.8051 eV/atom

---

No. 8
Material: Ho4AgPt2
Method: DFT, PBE
State: optimized geometry

Lattice parameters (Å, degrees): 4.9324 4.9324 8.4966 73.13 73.13 60.00
Last column: nearest neighbours and their distance in Å.
Fractional positions:
Pt (0.2486, 0.2486, 0.2541)  8 Ho 2.90-3.12
Ho (0.3785, 0.3785, 0.8644)  4 Pt 3.00-3.12, 3 Ag 3.05
Ag (0.0000, 0.0000, 0.0000)  8 Ho 3.05-3.07
Ho (0.8722, 0.8722, 0.3835)  4 Pt 2.90-3.03, 1 Ag 3.07
Ho (0.6215, 0.6215, 0.1356)  4 Pt 3.00-3.12, 3 Ag 3.05
Ho (0.1278, 0.1278, 0.6165)  4 Pt 2.90-3.03, 1 Ag 3.07
Pt (0.7514, 0.7514, 0.7459)  8 Ho 2.90-3.12

Summary:
Formation energy = -0.8343 eV/atom
Electronic total energy = -5.5834 eV/atom
Offset from the most stable computed form = 0.05 eV/f.u.

---

No. 9
Material: AcPrInPt
Method: DFT, PBE
State: optimized geometry

Lattice parameters (Å, degrees): 5.4686 5.4686 5.4686 60.00 60.00 60.00
Last column: nearest neighbours and their distance in Å.
Fractional positions:
Pt (0.7500, 0.7500, 0.7500)  4 Pr 3.35, 4 Ac 3.35
Pr (0.5000, 0.5000, 0.5000)  4 Pt 3.35, 4 In 3.35
In (0.2500, 0.2500, 0.2500)  4 Ac 3.35, 4 Pr 3.35
Ac (0.0000, 0.0000, 0.0000)  4 In 3.35, 4 Pt 3.35

Summary:
Formation energy = -0.5865 eV/atom
Electronic total energy = -5.0033 eV/atom

---

No. 10
Material: Ag2RuRh
Method: DFT, PBE
State: optimized geometry

Lattice parameters (Å, degrees): 2.7529 2.7529 9.7190 90.00 90.00 118.88
Last column: nearest neighbours and their distance in Å.
Fractional positions:
Rh (0.0000, 0.0000, 0.5125)  2 Ru 2.59, 6 Rh 2.75-2.80, 2 Ag 2.85
Ru (0.5000, 0.5000, 0.7368)  2 Rh 2.59, 6 Ru 2.75-2.80, 2 Ag 2.86
Ag (0.5000, 0.5000, 0.2567)  8 Ag 2.75-2.91, 2 Rh 2.85
Ag (0.0000, 0.0000, 0.9940)  8 Ag 2.75-2.91, 2 Ru 2.86

Summary:
Formation energy = 0.3513 eV/atom
Electronic total energy = -5.2312 eV/atom
Offset from the most stable computed form = 0.56 eV/f.u.

---

no.,total magnetization (μB/atom)
1,0.5664
2,0.0000
3,0.0000
4,0.0000
5,0.0000
6,0.0000
7,0.0000
8,0.0000
9,0.0000
10,0.1975